[1]
First-principles (PBE-GGA) data for a relaxed structure of CePuSn, as listed in Alexandria.

Calculated values
**Symmetry**: P6_3/mmc, No. 194
**Fermi-level density of states**: 1.84 states/eV per atom
**Energy above the most stable polymorph in this dataset**: 11 meV/atom

a b c (Å): 5.5319 5.5319 6.3351
angles (deg): 90.00 90.00 120.00
Last column: nearest neighbours and their distance in Å.
Atoms (fractional coordinates):
1 Ce 0.3333 0.6667 0.2500  5 Sn 3.17-3.19, 3 Pu 3.19
2 Ce 0.6667 0.3333 0.7500  5 Sn 3.17-3.19, 3 Pu 3.19
3 Pu 0.0000 0.0000 0.2500  2 Pu 3.17, 3 Sn 3.19, 3 Ce 3.19
4 Pu 0.0000 0.0000 0.7500  2 Pu 3.17, 3 Ce 3.19, 3 Sn 3.19
5 Sn 0.3333 0.6667 0.7500  5 Ce 3.17-3.19, 3 Pu 3.19
6 Sn 0.6667 0.3333 0.2500  5 Ce 3.17-3.19, 3 Pu 3.19

***

[2]
First-principles (PBE-GGA) data for a relaxed structure of HfScNi2, as listed in Alexandria.

Calculated values
**Symmetry**: Immm, No. 71
**Fermi-level density of states**: 0.84 states/eV per atom

a b c (Å): 5.6506 5.6506 5.6506
angles (deg): 150.90 127.59 61.06
Last column: nearest neighbours and their distance in Å.
Atoms (fractional coordinates):
1 Hf 0.0000 0.0000 0.0000  2 Ni 2.42
2 Sc 0.5000 0.5000 0.0000  2 Ni 2.45
3 Ni 0.2488 0.2488 0.0000  1 Hf 2.42, 1 Sc 2.45
4 Ni 0.7512 0.7512 0.0000  1 Hf 2.42, 1 Sc 2.45

***

Calculated total energy across the listed records, respectively: -8.398, -6.463 eV per atom.